A geometry-optimized Ca5Al2I2 structure. Source: Alexandria via LeMat-Bulk, functional PBE.

Properties
**Total moment**: 0.00 μB/cell
**VASP energy**: -2.93 eV/atom
**Formation energy (no corrections)**: -5.77 eV/f.u.
**DOS(E_F)**: 0.08 states/eV per atom

abc: 9.3521 9.3521 8.3729
angles: 90.00 90.00 53.00
Fractional positions:
Ca  0.0000  0.0000  0.0000
Ca  0.0511  0.7150  0.6664
Ca  0.2150  0.5511  0.1664
Ca  0.2850  0.9489  0.6664
Ca  0.4489  0.7850  0.1664
Ca  0.5000  0.5000  0.5000
Ca  0.5511  0.2150  0.8336
Ca  0.7150  0.0511  0.3336
Ca  0.7850  0.4489  0.8336
Ca  0.9489  0.2850  0.3336
Al  0.1225  0.8775  0.3778
Al  0.3775  0.6225  0.8778
Al  0.6225  0.3775  0.1222
Al  0.8775  0.1225  0.6222
I  0.2144  0.2144  0.0000
I  0.2856  0.2856  0.5000
I  0.7144  0.7144  0.5000
I  0.7856  0.7856  0.0000